No. 1
Here is a relaxed structure of PuTh3Co8 from the Alexandria database. Energies are from PBE.

CIF file:
```
data_PuTh3Co8
_chemical_formula_sum 'Pu3 Th9 Co24'
_space_group_name_H-M_alt 'R 3 m'
_space_group_IT_number 160
_space_group_name_Hall 'R 3 -2"'
_cell_length_a 5.0761
_cell_length_b 5.0761
_cell_length_c 24.9519
_cell_angle_alpha 90.00
_cell_angle_beta 90.00
_cell_angle_gamma 120.00
loop_
_atom_site_label
_atom_site_fract_x
_atom_site_fract_y
_atom_site_fract_z
_atom_site_occupancy
Pu1 0.0000 0.0000 0.0000 1
Th1 0.0000 0.0000 0.3685 1
Th2 0.0000 0.0000 0.4956 1
Th3 0.0000 0.0000 0.8780 1
Co1 0.0000 0.0000 0.1850 1
Co2 0.0000 0.0000 0.6842 1
Co3 0.0001 0.5001 0.4344 1
Co4 0.1681 0.3363 0.2693 1
```

Properties
Energy of formation from the pure elements = -190 meV per atom
Total magnetization = 8.2 μB per cell
Total DFT energy (no corrections) = -0.586 Ry per atom



No. 2
Here is a relaxed structure of SmTm2Cd3 from the Alexandria database. Energies are from PBE.

CIF file:
```
data_SmTm2Cd3
_chemical_formula_sum 'Sm4 Tm8 Cd12'
_space_group_name_H-M_alt 'C m m m'
_space_group_IT_number 65
_space_group_name_Hall '-C 2 2'
_cell_length_a 5.2453
_cell_length_b 15.7818
_cell_length_c 7.5645
_cell_angle_alpha 90.00
_cell_angle_beta 90.00
_cell_angle_gamma 90.00
loop_
_atom_site_label
_atom_site_fract_x
_atom_site_fract_y
_atom_site_fract_z
_atom_site_occupancy
Sm1 0.0000 0.1649 0.0000 1
Tm1 0.0000 0.1688 0.5000 1
Tm2 0.0000 0.5000 0.0000 1
Tm3 0.0000 0.5000 0.5000 1
Cd1 0.0000 0.0000 0.2611 1
Cd2 0.0000 0.3356 0.2599 1
```

Properties
Energy of formation from the pure elements = -310 meV per atom
Total magnetization = 1.2 μB per cell
Total DFT energy (no corrections) = -0.224 Ry per atom



No. 3
Here is a relaxed structure of LiCaTl from the Alexandria database. Energies are from PBE.

CIF file:
```
data_LiCaTl
_chemical_formula_sum 'Li4 Ca4 Tl4'
_space_group_name_H-M_alt 'F -4 3 m'
_space_group_IT_number 216
_space_group_name_Hall 'F -4 2 3'
_cell_length_a 7.3724
_cell_length_b 7.3724
_cell_length_c 7.3724
_cell_angle_alpha 90.00
_cell_angle_beta 90.00
_cell_angle_gamma 90.00
loop_
_atom_site_label
_atom_site_fract_x
_atom_site_fract_y
_atom_site_fract_z
_atom_site_occupancy
Li1 0.0000 0.0000 0.0000 1
Ca1 0.2500 0.2500 0.7500 1
Tl1 0.0000 0.0000 0.5000 1
```

Properties
Energy of formation from the pure elements = 164 meV per atom
ΔE to the lowest computed polymorph = 461 meV/atom
Total magnetization = 0.0 μB per cell
Total DFT energy (no corrections) = -0.142 Ry per atom